1.
LiFe2Rh: relaxed, GGA-PBE.

CIF file:
```
data_LiFe2Rh
_chemical_formula_sum 'Li2 Fe4 Rh2'
_cell_length_a 2.786
_cell_length_b 4.365
_cell_length_c 8.894
_cell_angle_alpha 90.00
_cell_angle_beta 90.00
_cell_angle_gamma 90.00
_symmetry_space_group_name_H-M 'C m m m'
_symmetry_Int_Tables_number 65
_symmetry_space_group_name_Hall '-C 2 2'
loop_
_atom_site_label
_atom_site_fract_x
_atom_site_fract_y
_atom_site_fract_z
Li1 0.000 0.000 0.000
Fe1 0.000 0.500 0.255
Rh1 0.000 0.000 0.500
```

Computed properties:
Raw total energy, eV per atom: -6.349
Energy of formation, eV/atom: 0.199


2.
LiFeRh: relaxed, GGA-PBE.

CIF file:
```
data_LiFeRh
_chemical_formula_sum 'Li4 Fe4 Rh4'
_cell_length_a 2.790
_cell_length_b 4.443
_cell_length_c 13.176
_cell_angle_alpha 90.00
_cell_angle_beta 90.00
_cell_angle_gamma 90.00
_symmetry_space_group_name_H-M 'F m m 2'
_symmetry_Int_Tables_number 42
_symmetry_space_group_name_Hall 'F 2 -2'
loop_
_atom_site_label
_atom_site_fract_x
_atom_site_fract_y
_atom_site_fract_z
Li1 0.000 0.000 0.000
Fe1 0.000 0.000 0.673
Rh1 0.000 0.000 0.334
```

Computed properties:
Raw total energy, eV per atom: -5.833
Energy of formation, eV/atom: 0.076
Energy relative to the lowest polymorph listed for this composition, eV per formula unit: 0.38


3.
LiFe2Rh: relaxed, GGA-PBE.

CIF file:
```
data_LiFe2Rh
_chemical_formula_sum 'Li1 Fe2 Rh1'
_cell_length_a 2.615
_cell_length_b 3.886
_cell_length_c 5.026
_cell_angle_alpha 90.00
_cell_angle_beta 90.00
_cell_angle_gamma 90.00
_symmetry_space_group_name_H-M 'P m m m'
_symmetry_Int_Tables_number 47
_symmetry_space_group_name_Hall '-P 2 2'
loop_
_atom_site_label
_atom_site_fract_x
_atom_site_fract_y
_atom_site_fract_z
Li1 0.000 0.000 0.000
Fe1 0.500 0.500 0.255
Rh1 0.000 0.000 0.500
```

Computed properties:
Raw total energy, eV per atom: -6.445
Energy of formation, eV/atom: 0.103


4.
LiFeRh: relaxed, GGA-PBE.

CIF file:
```
data_LiFeRh
_chemical_formula_sum 'Li4 Fe4 Rh4'
_cell_length_a 5.492
_cell_length_b 5.492
_cell_length_c 5.492
_cell_angle_alpha 90.00
_cell_angle_beta 90.00
_cell_angle_gamma 90.00
_symmetry_space_group_name_H-M 'F -4 3 m'
_symmetry_Int_Tables_number 216
_symmetry_space_group_name_Hall 'F -4 2 3'
loop_
_atom_site_label
_atom_site_fract_x
_atom_site_fract_y
_atom_site_fract_z
Li1 0.000 0.000 0.000
Fe1 0.250 0.250 0.250
Rh1 0.000 0.000 0.500
```

Computed properties:
Raw total energy, eV per atom: -5.443
Energy of formation, eV/atom: 0.466
Energy relative to the lowest polymorph listed for this composition, eV per formula unit: 1.55


5.
LiFe2Rh: relaxed, GGA-PBE.

CIF file:
```
data_LiFe2Rh
_chemical_formula_sum 'Li1 Fe2 Rh1'
_cell_length_a 3.642
_cell_length_b 3.642
_cell_length_c 3.793
_cell_angle_alpha 90.00
_cell_angle_beta 90.00
_cell_angle_gamma 90.00
_symmetry_space_group_name_H-M 'P 4/m m m'
_symmetry_Int_Tables_number 123
_symmetry_space_group_name_Hall '-P 4 2'
loop_
_atom_site_label
_atom_site_fract_x
_atom_site_fract_y
_atom_site_fract_z
Li1 0.000 0.000 0.000
Fe1 0.000 0.500 0.500
Rh1 0.500 0.500 0.000
```

Computed properties:
Raw total energy, eV per atom: -6.484
Energy of formation, eV/atom: 0.064


6.
LiFeRh2: relaxed, GGA-PBE.

CIF file:
```
data_LiFeRh2
_chemical_formula_sum 'Li1 Fe1 Rh2'
_cell_length_a 2.839
_cell_length_b 4.170
_cell_length_c 4.535
_cell_angle_alpha 90.00
_cell_angle_beta 90.00
_cell_angle_gamma 90.00
_symmetry_space_group_name_H-M 'P m m m'
_symmetry_Int_Tables_number 47
_symmetry_space_group_name_Hall '-P 2 2'
loop_
_atom_site_label
_atom_site_fract_x
_atom_site_fract_y
_atom_site_fract_z
Li1 0.000 0.000 0.000
Fe1 0.500 0.000 0.500
Rh1 0.000 0.500 0.500
Rh2 0.500 0.500 0.000
```

Computed properties:
Raw total energy, eV per atom: -6.240
Energy of formation, eV/atom: 0.030
Energy relative to the lowest polymorph listed for this composition, eV per formula unit: 0.62


7.
LiFeRh: relaxed, GGA-PBE.

CIF file:
```
data_LiFeRh
_chemical_formula_sum 'Li1 Fe1 Rh1'
_cell_length_a 4.1802
_cell_length_b 4.1802
_cell_length_c 2.6927
_cell_angle_alpha 90.00
_cell_angle_beta 90.00
_cell_angle_gamma 120.00
_symmetry_space_group_name_H-M 'P -6 m 2'
_symmetry_Int_Tables_number 187
_symmetry_space_group_name_Hall 'P -6 2'
loop_
_atom_site_label
_atom_site_fract_x
_atom_site_fract_y
_atom_site_fract_z
Li1 0.0000 0.0000 0.0000
Fe1 0.3333 0.6667 0.5000
Rh1 0.6667 0.3333 0.5000
```

Computed properties:
Raw total energy, eV per atom: -5.783
Energy of formation, eV/atom: 0.126
Energy relative to the lowest polymorph listed for this composition, eV per formula unit: 0.53


8.
LiFeRh2: relaxed, GGA-PBE.

CIF file:
```
data_LiFeRh2
_chemical_formula_sum 'Li1 Fe1 Rh2'
_cell_length_a 2.668
_cell_length_b 3.896
_cell_length_c 5.055
_cell_angle_alpha 90.00
_cell_angle_beta 90.00
_cell_angle_gamma 90.00
_symmetry_space_group_name_H-M 'P m m 2'
_symmetry_Int_Tables_number 25
_symmetry_space_group_name_Hall 'P 2 -2'
loop_
_atom_site_label
_atom_site_fract_x
_atom_site_fract_y
_atom_site_fract_z
Li1 0.000 0.000 0.000
Fe1 0.500 0.500 0.741
Rh1 0.000 0.000 0.505
Rh2 0.500 0.500 0.229
```

Computed properties:
Raw total energy, eV per atom: -6.269
Energy of formation, eV/atom: 0.001
Energy relative to the lowest polymorph listed for this composition, eV per formula unit: 0.51


9.
LiFeRh2: relaxed, GGA-PBE.

CIF file:
```
data_LiFeRh2
_chemical_formula_sum 'Li4 Fe4 Rh8'
_cell_length_a 6.627
_cell_length_b 6.627
_cell_length_c 5.315
_cell_angle_alpha 90.00
_cell_angle_beta 90.00
_cell_angle_gamma 90.00
_symmetry_space_group_name_H-M 'I -4 2 d'
_symmetry_Int_Tables_number 122
_symmetry_space_group_name_Hall 'I -4 2bw'
loop_
_atom_site_label
_atom_site_fract_x
_atom_site_fract_y
_atom_site_fract_z
Li1 0.000 0.000 0.000
Fe1 0.000 0.000 0.500
Rh1 0.230 0.250 0.625
```

Computed properties:
Raw total energy, eV per atom: -5.962
Energy of formation, eV/atom: 0.308
Energy relative to the lowest polymorph listed for this composition, eV per formula unit: 1.73


10.
LiFe2Rh2: relaxed, GGA-PBE.

CIF file:
```
data_LiFe2Rh2
_chemical_formula_sum 'Li2 Fe4 Rh4'
_cell_length_a 7.292
_cell_length_b 7.292
_cell_length_c 2.718
_cell_angle_alpha 90.00
_cell_angle_beta 90.00
_cell_angle_gamma 90.00
_symmetry_space_group_name_H-M 'P 4/m b m'
_symmetry_Int_Tables_number 127
_symmetry_space_group_name_Hall '-P 4 2ab'
loop_
_atom_site_label
_atom_site_fract_x
_atom_site_fract_y
_atom_site_fract_z
Li1 0.000 0.000 0.000
Fe1 0.157 0.343 0.500
Rh1 0.140 0.640 0.000
```

Computed properties:
Raw total energy, eV per atom: -6.676
Energy of formation, eV/atom: 0.032


11.
LiFe3Rh: relaxed, GGA-PBE.

CIF file:
```
data_LiFe3Rh
_chemical_formula_sum 'Li1 Fe3 Rh1'
_cell_length_a 3.997
_cell_length_b 3.997
_cell_length_c 3.997
_cell_angle_alpha 90.00
_cell_angle_beta 90.00
_cell_angle_gamma 90.00
_symmetry_space_group_name_H-M 'P m -3 m'
_symmetry_Int_Tables_number 221
_symmetry_space_group_name_Hall '-P 4 2 3'
loop_
_atom_site_label
_atom_site_fract_x
_atom_site_fract_y
_atom_site_fract_z
Li1 0.000 0.000 0.000
Fe1 0.000 0.000 0.500
Rh1 0.500 0.500 0.500
```

Computed properties:
Raw total energy, eV per atom: -6.035
Energy of formation, eV/atom: 0.895
Energy relative to the lowest polymorph listed for this composition, eV per formula unit: 0.00


12.
LiFeRh: relaxed, GGA-PBE.

CIF file:
```
data_LiFeRh
_chemical_formula_sum 'Li4 Fe4 Rh4'
_cell_length_a 4.886
_cell_length_b 4.185
_cell_length_c 7.610
_cell_angle_alpha 90.00
_cell_angle_beta 90.00
_cell_angle_gamma 90.00
_symmetry_space_group_name_H-M 'P n m a'
_symmetry_Int_Tables_number 62
_symmetry_space_group_name_Hall '-P 2ac 2n'
loop_
_atom_site_label
_atom_site_fract_x
_atom_site_fract_y
_atom_site_fract_z
Li1 0.132 0.250 0.022
Fe1 0.155 0.250 0.693
Rh1 0.124 0.250 0.359
```

Computed properties:
Raw total energy, eV per atom: -5.906
Energy of formation, eV/atom: 0.004
Energy relative to the lowest polymorph listed for this composition, eV per formula unit: 0.16


Which value of raw total energy does entry 5 give? -6.484 eV per atom


raw total energy of number 12 (LiFeRh)? -5.906 eV per atom